Entry 1:
Compound: Zr4CuAuC2
Source: OQMD
Functional: PBE-GGA
Structure: optimized geometry Values from VASP.

```
&SYSTEM
  ibrav = 0, nat = 8, ntyp = 4
/
ATOMIC_SPECIES
Zr 91.22 Zr.upf
C 12.01 C.upf
Cu 63.55 Cu.upf
Au 196.97 Au.upf
CELL_PARAMETERS angstrom
3.336 0.000 0.000
-1.668 2.889 0.000
0.000 0.000 13.859
ATOMIC_POSITIONS angstrom
Zr 0.000 0.000 4.865
C 1.668 0.963 10.303
Zr 0.000 0.000 8.995
C 1.668 0.963 3.556
Cu 0.000 1.926 6.930
Zr 0.000 1.926 2.269
Au 0.000 0.000 0.000
Zr 0.000 1.926 11.590
```

Crystal system: hexagonal


Entry 2:
Compound: PH18Au2C9S6N3F6
Source: OQMD
Functional: PBE-GGA
Structure: optimized geometry Values from VASP.

```
&SYSTEM
  ibrav = 0, nat = 90, ntyp = 7
/
ATOMIC_SPECIES
H 1.01 H.upf
N 14.01 N.upf
C 12.01 C.upf
F 19.00 F.upf
S 32.06 S.upf
Au 196.97 Au.upf
P 30.97 P.upf
CELL_PARAMETERS angstrom
7.427 0.000 0.000
-2.910 9.082 0.000
-1.044 -3.757 14.656
ATOMIC_POSITIONS angstrom
H -1.737 4.078 9.746
N 3.456 1.909 3.937
C 4.288 0.577 8.595
F 6.335 -0.389 6.247
S 2.964 -0.252 12.332
Au 1.638 8.094 0.533
C -0.220 4.888 3.730
C -0.141 3.934 11.946
H 1.730 5.954 11.283
H 3.018 6.411 3.432
H -1.688 4.189 5.710
C 2.857 -1.287 9.432
H 2.573 -1.787 10.366
C 3.614 1.392 2.709
S 3.955 5.232 1.060
F -0.751 1.710 7.167
H 2.358 5.346 12.845
H 0.932 2.055 9.430
H 1.115 -0.020 1.811
H 1.867 2.442 10.898
F 1.965 4.082 7.294
H 0.456 -1.085 11.224
C 2.635 5.799 11.887
S 6.470 1.689 0.039
C -1.222 -1.433 13.296
F 4.225 3.615 7.488
H 1.953 -1.022 8.869
H 3.742 0.325 5.301
C -0.661 3.997 9.564
P 3.269 4.891 7.851
N 3.637 -0.087 9.718
C 4.696 6.759 1.359
C 2.610 3.077 4.153
H 3.310 5.126 11.348
N 0.018 3.416 10.719
F 1.508 1.244 7.362
H -0.001 7.293 5.819
H 4.595 5.749 3.935
H -1.154 5.510 6.769
S -2.997 3.637 14.617
Au -0.242 3.649 1.160
H 3.590 1.268 8.109
S -1.036 3.411 3.375
H 0.164 0.200 3.307
H 2.541 3.271 5.226
C 4.134 1.329 5.092
F 3.013 4.265 9.336
S 0.509 5.578 2.323
C 0.863 2.248 10.502
S 0.700 3.126 13.224
N 6.213 -2.012 12.111
N -2.740 7.338 2.545
H 4.063 7.341 4.545
H 1.743 -0.628 3.373
H 3.031 3.953 3.642
F -2.862 5.715 8.409
H 4.627 -0.185 7.887
S -0.482 0.093 13.596
C -0.582 -1.346 10.973
H -0.489 3.352 8.700
H -0.590 -2.016 10.111
H 5.211 1.248 4.910
Au 3.716 1.677 13.496
H 1.520 6.348 5.787
F 2.315 6.171 8.221
F 0.460 1.060 5.320
H 0.442 1.372 11.014
C -0.815 4.748 6.061
H 1.606 2.884 3.758
H 3.475 -1.967 8.836
C 0.838 -0.473 2.768
H -1.122 -0.424 10.721
S 2.774 2.200 1.431
S 4.509 1.914 11.281
P 0.205 0.435 6.805
F 1.158 -0.846 6.435
S -1.205 5.292 12.049
C 0.617 6.612 5.224
N -0.164 5.413 4.938
Au 1.835 -2.768 14.122
H 3.963 1.973 5.956
C 4.055 6.671 3.682
F -0.047 -0.175 8.301
H -0.269 5.000 9.355
F 3.520 5.501 6.355
C 3.694 0.438 10.925
H 5.161 1.136 8.946
H 0.901 7.113 4.289
H -0.117 4.058 6.546
S 4.678 0.033 2.607
```

Crystal system: triclinic


Entry 3:
Compound: LiAuC4S4O12F12
Source: OQMD
Functional: PBE-GGA
Structure: optimized geometry Values from VASP.

```
&SYSTEM
  ibrav = 0, nat = 34, ntyp = 6
/
ATOMIC_SPECIES
S 32.06 S.upf
O 16.00 O.upf
C 12.01 C.upf
F 19.00 F.upf
Au 196.97 Au.upf
Li 6.94 Li.upf
CELL_PARAMETERS angstrom
-2.122 -1.877 3.868
5.716 -5.842 -0.282
5.607 6.345 5.421
ATOMIC_POSITIONS angstrom
S 1.718 -2.071 2.769
O 4.408 3.396 7.077
C 6.406 -2.831 2.317
F 5.053 -3.789 5.574
F 3.748 0.842 5.966
F 7.530 -1.166 4.426
F 5.453 -2.216 3.041
F 5.848 -1.314 5.838
F 2.039 2.223 5.892
S 7.482 0.697 6.238
F 3.352 -0.060 3.169
O 0.948 -1.105 1.875
C 6.608 -0.474 5.119
O 6.468 1.345 7.020
Au -1.061 -0.939 1.934
F 1.671 -0.208 4.581
S 5.646 -3.881 1.022
F 4.148 2.415 3.433
O 8.252 -0.269 7.132
O 2.731 -4.867 4.087
F 7.161 -3.597 3.116
C 2.794 1.457 6.690
O 6.469 3.492 4.920
S 3.554 2.507 7.985
F 5.841 0.232 4.268
O 4.612 -6.468 4.273
C 2.593 -0.900 3.888
O 0.861 -2.824 3.644
O 4.792 -4.770 1.930
Li 2.858 -2.921 -0.141
F 3.359 -1.606 4.740
O 2.732 -2.719 1.987
O 4.588 5.094 4.735
O 8.339 1.450 5.363
```

Crystal system: triclinic


Entry 4:
Compound: Hf4FeAuC2
Source: OQMD
Functional: PBE-GGA
Structure: optimized geometry Values from VASP.

```
&SYSTEM
  ibrav = 0, nat = 8, ntyp = 4
/
ATOMIC_SPECIES
Hf 178.49 Hf.upf
C 12.01 C.upf
Au 196.97 Au.upf
Fe 55.84 Fe.upf
CELL_PARAMETERS angstrom
-1.555 -2.707 -0.896
2.885 0.723 -1.304
6.309 -6.965 10.099
ATOMIC_POSITIONS angstrom
Hf 5.178 -7.363 7.376
Hf 0.982 -2.730 0.659
C 3.031 -2.215 1.434
C 6.089 -5.591 6.330
Au 0.000 0.000 0.000
Fe 3.080 -5.046 4.018
Hf 4.051 -4.472 6.484
Hf 2.259 -2.493 3.615
```

Crystal system: hexagonal


Entry 5:
Compound: Lu4FeAuC2
Source: OQMD
Functional: PBE-GGA
Structure: optimized geometry Values from VASP.

```
&SYSTEM
  ibrav = 0, nat = 8, ntyp = 4
/
ATOMIC_SPECIES
Au 196.97 Au.upf
Fe 55.84 Fe.upf
C 12.01 C.upf
Lu 174.97 Lu.upf
CELL_PARAMETERS angstrom
-0.379 -1.612 3.093
0.384 -1.893 -2.929
13.786 0.101 1.743
ATOMIC_POSITIONS angstrom
Au 0.000 0.000 0.000
Fe 7.022 -1.749 -0.050
C 10.208 -1.630 2.392
Lu 2.347 -1.783 -0.641
C 3.328 -1.680 1.522
Lu 8.968 0.065 1.134
Lu 4.818 0.035 0.609
Lu 11.698 -1.715 0.542
```

E above lowest polymorph (meV/atom): 0
Crystal system: hexagonal


Entry 6:
Compound: Nb4FeAuC2
Source: OQMD
Functional: PBE-GGA
Structure: optimized geometry Values from VASP.

```
&SYSTEM
  ibrav = 0, nat = 8, ntyp = 4
/
ATOMIC_SPECIES
Nb 92.91 Nb.upf
C 12.01 C.upf
Fe 55.84 Fe.upf
Au 196.97 Au.upf
CELL_PARAMETERS angstrom
3.133 0.000 0.000
-1.566 2.713 0.000
0.000 0.000 13.585
ATOMIC_POSITIONS angstrom
Nb 1.566 0.904 2.313
C 0.000 1.809 10.048
Nb 0.000 0.000 8.783
C 0.000 1.809 3.537
Fe 1.566 0.904 6.793
Nb 1.566 0.904 11.272
Nb 0.000 0.000 4.802
Au 0.000 0.000 0.000
```

Crystal system: hexagonal


Ρ: 8.1, 3.0, 3.4, 13.1, 11.0, 9.3 (g/cm³)
Calculated volume: 134, 989, 392, 126, 148, 115 (Å³ per cell)
VASP energy: -63.8, -477.2, -184.0, -74.1, -50.3, -72.3 (eV/cell)